Entry from the Alexandria database: a relaxed structure of RbCd2InSb (PBE).

Values from the calculation:
Total energy   -2.140 eV per atom
V   159 Å³/f.u.
Formation energy without anion corrections   -0.208 eV/atom
Size of the total moment   0.00 Bohr magnetons per cell

abc: 4.856 5.131 12.760
angles: 90.00 90.00 90.00
Space group Imm2 (No. 44)
Asymmetric unit:
Rb 0.000 0.000 0.000
Cd 0.000 0.000 0.619
Cd 0.000 0.500 0.251
In 0.000 0.500 0.741
Sb 0.000 0.000 0.389

=====

Entry from the Alexandria database: a relaxed structure of RbCdIn2Se4 (PBE).

Values from the calculation:
Total energy   -3.260 eV per atom
V   282 Å³/f.u.
Formation energy without anion corrections   -0.597 eV/atom
Size of the total moment   0.00 Bohr magnetons per cell

abc: 6.677 6.688 12.623
angles: 90.00 90.00 90.00
Space group I222 (No. 23)
Asymmetric unit:
Rb 0.000 0.000 0.000
Cd 0.000 0.000 0.500
In 0.000 0.500 0.250
Se 0.213 0.213 0.644

=====

Entry from the Alexandria database: a relaxed structure of RbCdIn2Sn (PBE).

Values from the calculation:
Total energy   -2.387 eV per atom
V   160 Å³/f.u.
Energy relative to the elements   -0.115 eV per atom
Size of the total moment   0.00 Bohr magnetons per cell

abc: 5.022 5.022 12.659
angles: 90.00 90.00 90.00
Space group I-4m2 (No. 119)
Asymmetric unit:
Rb 0.000 0.000 0.000
Cd 0.000 0.500 0.750
In 0.000 0.000 0.384
Sn 0.000 0.500 0.250

=====

Entry from the Alexandria database: a relaxed structure of RbCdInSn2 (PBE).

Values from the calculation:
Total energy   -2.685 eV per atom
V   161 Å³/f.u.
Energy relative to the elements   -0.160 eV per atom
Size of the total moment   0.00 Bohr magnetons per cell

abc: 5.163 5.163 12.102
angles: 90.00 90.00 90.00
Space group I-4m2 (No. 119)
Asymmetric unit:
Rb 0.000 0.000 0.000
Cd 0.000 0.500 0.750
In 0.000 0.500 0.250
Sn 0.000 0.000 0.380

=====

Entry from the Alexandria database: a relaxed structure of RbCd2In4Sn (PBE).

Values from the calculation:
Total energy   -2.249 eV per atom
V   255 Å³/f.u.
Energy relative to the elements   -0.029 eV per atom
Size of the total moment   0.00 Bohr magnetons per cell

abc: 5.2680 5.2680 31.8102
angles: 90.00 90.00 120.00
Space group R-3m (No. 166, hexagonal axes)
Asymmetric unit:
Rb 0.0000 0.0000 0.0000
Cd 0.0000 0.0000 0.2382
In 0.0000 0.0000 0.1298
In 0.0000 0.0000 0.4058
Sn 0.0000 0.0000 0.5000

=====

Entry from the Alexandria database: a relaxed structure of Rb2CdIn3Sn4 (PBE).

Values from the calculation:
Total energy   -2.862 eV per atom
V   326 Å³/f.u.
Energy relative to the elements   -0.154 eV per atom
Size of the total moment   0.00 Bohr magnetons per cell

abc: 5.177 5.177 12.174
angles: 90.00 90.00 90.00
Space group P-4m2 (No. 115)
Asymmetric unit:
Rb 0.000 0.500 0.247
Cd 0.500 0.500 0.000
In 0.000 0.000 0.000
In 0.000 0.500 0.632
Sn 0.000 0.000 0.500
Sn 0.000 0.500 0.871
Sn 0.500 0.500 0.500

=====

Entry from the Alexandria database: a relaxed structure of Rb2Cd4In3Sn (PBE).

Values from the calculation:
Total energy   -1.860 eV per atom
V   315 Å³/f.u.
Energy relative to the elements   -0.079 eV per atom
Size of the total moment   0.00 Bohr magnetons per cell

abc: 5.005 5.005 12.563
angles: 90.00 90.00 90.00
Space group P-4m2 (No. 115)
Asymmetric unit:
Rb 0.000 0.500 0.249
Cd 0.000 0.000 0.000
Cd 0.000 0.500 0.637
Cd 0.500 0.500 0.000
In 0.000 0.500 0.870
In 0.500 0.500 0.500
Sn 0.000 0.000 0.500

=====

Entry from the Alexandria database: a relaxed structure of RbCd2InSn2 (PBE).

Values from the calculation:
Total energy   -2.294 eV per atom
V   193 Å³/f.u.
Energy relative to the elements   -0.037 eV per atom
Size of the total moment   0.00 Bohr magnetons per cell

abc: 5.1591 5.1591 8.3621
angles: 90.00 90.00 120.00
Space group P-3m1 (No. 164)
Asymmetric unit:
Rb 0.0000 0.0000 0.0000
Cd 0.3333 0.6667 0.6859
In 0.0000 0.0000 0.5000
Sn 0.3333 0.6667 0.3041

=====

Entry from the Alexandria database: a relaxed structure of RbCdIn2Te4 (PBE).

Values from the calculation:
Total energy   -2.901 eV per atom
V   346 Å³/f.u.
Formation energy without anion corrections   -0.410 eV/atom
Size of the total moment   0.00 Bohr magnetons per cell

abc: 7.213 7.213 13.319
angles: 90.00 90.00 90.00
Space group I-42m (No. 121)
Asymmetric unit:
Rb 0.000 0.000 0.000
Cd 0.000 0.000 0.500
In 0.000 0.500 0.250
Te 0.214 0.214 0.641

=====

Entry from the Alexandria database: a relaxed structure of RbCd2InTe4 (PBE).

Values from the calculation:
Total energy   -2.737 eV per atom
V   312 Å³/f.u.
Formation energy without anion corrections   -0.474 eV/atom
Size of the total moment   0.00 Bohr magnetons per cell

abc: 7.532 8.529 9.723
angles: 90.00 90.00 90.00
Space group I222 (No. 23)
Asymmetric unit:
Rb 0.000 0.000 0.000
Cd 0.000 0.500 0.191
In 0.000 0.000 0.500
Te 0.216 0.197 0.336

=====

Entry from the Alexandria database: a relaxed structure of RbTl2CdIn (PBE).

Values from the calculation:
Total energy   -1.863 eV per atom
V   175 Å³/f.u.
Energy relative to the elements   0.008 eV per atom
Size of the total moment   0.00 Bohr magnetons per cell

abc: 5.967 20.085 5.834
angles: 90.00 90.00 90.00
Space group Cmme (No. 67)
Asymmetric unit:
Rb 0.000 0.250 0.216
Tl 0.000 0.129 0.688
Cd 0.000 0.000 0.000
In 0.250 0.000 0.500

=====

Entry from the Alexandria database: a relaxed structure of RbTl4Cd2In (PBE).

Values from the calculation:
Total energy   -1.898 eV per atom
V   264 Å³/f.u.
Energy relative to the elements   -0.023 eV per atom
Size of the total moment   0.00 Bohr magnetons per cell

abc: 5.3577 5.3577 31.8042
angles: 90.00 90.00 120.00
Space group R-3m (No. 166, hexagonal axes)
Asymmetric unit:
Rb 0.0000 0.0000 0.0000
Tl 0.0000 0.0000 0.1295
Tl 0.0000 0.0000 0.4022
Cd 0.0000 0.0000 0.2386
In 0.0000 0.0000 0.5000

=====

Entry from the Alexandria database: a relaxed structure of RbTlCd2In (PBE).

Values from the calculation:
Total energy   -1.636 eV per atom
V   162 Å³/f.u.
Energy relative to the elements   -0.055 eV per atom
Size of the total moment   0.00 Bohr magnetons per cell

abc: 4.967 4.992 13.055
angles: 90.00 90.00 90.00
Space group Imm2 (No. 44)
Asymmetric unit:
Rb 0.000 0.000 0.000
Tl 0.000 0.000 0.613
Cd 0.000 0.000 0.381
Cd 0.000 0.500 0.255
In 0.000 0.500 0.755

=====

Entry from the Alexandria database: a relaxed structure of Rb2Tl4Cd3In (PBE).

Values from the calculation:
Total energy   -1.739 eV per atom
V   339 Å³/f.u.
Energy relative to the elements   -0.050 eV per atom
Size of the total moment   0.00 Bohr magnetons per cell

abc: 5.087 5.087 13.099
angles: 90.00 90.00 90.00
Space group P-4m2 (No. 115)
Asymmetric unit:
Rb 0.000 0.500 0.249
Tl 0.000 0.000 0.500
Tl 0.000 0.500 0.866
Tl 0.500 0.500 0.500
Cd 0.000 0.000 0.000
Cd 0.000 0.500 0.635
In 0.500 0.500 0.000

=====

Entry from the Alexandria database: a relaxed structure of RbTlCdIn2 (PBE).

Values from the calculation:
Total energy   -2.002 eV per atom
V   178 Å³/f.u.
Energy relative to the elements   -0.057 eV per atom
Size of the total moment   0.00 Bohr magnetons per cell

abc: 8.431 4.901 8.805
angles: 90.00 101.65 90.00
Space group P2_1/m (No. 11)
Asymmetric unit:
Rb 0.222 0.250 0.359
Tl 0.338 0.750 0.695
Cd 0.105 0.750 0.005
In 0.165 0.250 0.819
In 0.452 0.750 0.096

=====

Entry from the Alexandria database: a relaxed structure of RbTl2CdIn (PBE).

Values from the calculation:
Total energy   -1.765 eV per atom
V   205 Å³/f.u.
Energy relative to the elements   0.105 eV per atom
Size of the total moment   0.00 Bohr magnetons per cell

abc: 6.041 6.041 5.610
angles: 90.00 90.00 90.00
Space group P4/mmm (No. 123)
Asymmetric unit:
Rb 0.000 0.000 0.000
Tl 0.000 0.500 0.500
Cd 0.500 0.500 0.000
In 0.500 0.500 0.500

=====

Entry from the Alexandria database: a relaxed structure of Rb2Tl6CdIn (PBE).

Values from the calculation:
Total energy   -1.945 eV per atom
V   387 Å³/f.u.
Energy relative to the elements   0.034 eV per atom
Size of the total moment   0.00 Bohr magnetons per cell

abc: 7.9815 7.9815 42.0581
angles: 90.00 90.00 120.00
Space group R-3m (No. 166, hexagonal axes)
Asymmetric unit:
Rb 0.0000 0.0000 0.1385
Rb 0.0000 0.0000 0.3079
Tl 0.0427 0.5213 0.8805
Tl 0.0645 0.5322 0.7243
Cd 0.0000 0.0000 0.0000
Cd 0.0000 0.0000 0.5000
In 0.0000 0.0000 0.4123

=====

Entry from the Alexandria database: a relaxed structure of Rb2TlCd4In3 (PBE).

Values from the calculation:
Total energy   -1.681 eV per atom
V   321 Å³/f.u.
Energy relative to the elements   -0.063 eV per atom
Size of the total moment   0.00 Bohr magnetons per cell

abc: 5.021 5.021 12.727
angles: 90.00 90.00 90.00
Space group P-4m2 (No. 115)
Asymmetric unit:
Rb 0.000 0.500 0.247
Tl 0.000 0.000 0.500
Cd 0.000 0.000 0.000
Cd 0.000 0.500 0.640
Cd 0.500 0.500 0.000
In 0.000 0.500 0.872
In 0.500 0.500 0.500

=====

Entry from the Alexandria database: a relaxed structure of RbTlCd2In (PBE).

Values from the calculation:
Total energy   -1.483 eV per atom
V   197 Å³/f.u.
Energy relative to the elements   0.097 eV per atom
Size of the total moment   0.00 Bohr magnetons per cell

abc: 5.700 5.700 6.057
angles: 90.00 90.00 90.00
Space group P4/mmm (No. 123)
Asymmetric unit:
Rb 0.000 0.000 0.000
Tl 0.500 0.500 0.000
Cd 0.000 0.500 0.500
In 0.500 0.500 0.500

=====

Entry from the Alexandria database: a relaxed structure of Rb2Tl3CdIn4 (PBE).

Values from the calculation:
Total energy   -2.156 eV per atom
V   341 Å³/f.u.
Energy relative to the elements   -0.065 eV per atom
Size of the total moment   0.00 Bohr magnetons per cell

abc: 5.177 5.177 12.713
angles: 90.00 90.00 90.00
Space group P-4m2 (No. 115)
Asymmetric unit:
Rb 0.000 0.500 0.248
Tl 0.000 0.000 0.000
Tl 0.000 0.500 0.637
Cd 0.500 0.500 0.000
In 0.000 0.000 0.500
In 0.000 0.500 0.874
In 0.500 0.500 0.500

=====

Entry from the Alexandria database: a relaxed structure of Rb2Tl2CdIn (PBE).

Values from the calculation:
Total energy   -1.798 eV per atom
V   231 Å³/f.u.
Energy relative to the elements   -0.077 eV per atom
Size of the total moment   0.00 Bohr magnetons per cell

abc: 7.243 17.601 7.254
angles: 90.00 90.00 90.00
Space group Ibam (No. 72)
Asymmetric unit:
Rb 0.249 0.170 0.000
Tl 0.250 0.101 0.500
Cd 0.000 0.500 0.250
In 0.000 0.000 0.250

=====

Entry from the Alexandria database: a relaxed structure of RbTl3CdIn (PBE).

Values from the calculation:
Total energy   -2.003 eV per atom
V   207 Å³/f.u.
Energy relative to the elements   -0.050 eV per atom
Size of the total moment   0.00 Bohr magnetons per cell

abc: 4.935 18.232 9.203
angles: 90.00 90.00 90.00
Space group Cmcm (No. 63)
Asymmetric unit:
Rb 0.000 0.197 0.250
Tl 0.000 0.140 0.750
Tl 0.000 0.384 0.017
Cd 0.000 0.486 0.750
In 0.000 0.000 0.000

=====

Entry from the Alexandria database: a relaxed structure of RbTl5CdIn2 (PBE).

Values from the calculation:
Total energy   -1.976 eV per atom
V   351 Å³/f.u.
Energy relative to the elements   0.157 eV per atom
Size of the total moment   0.00 Bohr magnetons per cell

abc: 5.160 5.160 13.191
angles: 90.00 90.00 90.00
Space group P4/mmm (No. 123)
Asymmetric unit:
Rb 0.000 0.000 0.000
Tl 0.000 0.500 0.362
Tl 0.500 0.500 0.000
Cd 0.500 0.500 0.500
In 0.500 0.500 0.223

=====

Entry from the Alexandria database: a relaxed structure of Rb2VCdIn (PBE).

Values from the calculation:
Total energy   -2.026 eV per atom
V   240 Å³/f.u.
Energy relative to the elements   0.916 eV per atom
Size of the total moment   4.53 Bohr magnetons per cell

abc: 6.690 6.690 5.368
angles: 90.00 90.00 90.00
Space group P4/mmm (No. 123)
Asymmetric unit:
Rb 0.000 0.500 0.000
V 0.000 0.000 0.500
Cd 0.500 0.500 0.000
In 0.500 0.500 0.500